Entry 1:
DFT (PBE) results for an optimized crystal structure of ScCdPb3.

```
5
Lattice="-1.541 5.374 -0.850 -5.117 -1.132 2.124 1.848 1.348 5.171" Properties=species:S:1:pos:R:3 pbc="T T T"
Sc 0.000 0.000 0.000
Pb 0.924 0.674 2.586
Pb -2.559 -0.566 1.062
Pb -0.771 2.687 -0.425
Cd -2.405 2.795 3.223
```

Calculated values
The value obtained for the energy above the most stable polymorph in this dataset is 264 meV/atom. As for the energy: -3.359 eV/atom. The value obtained for the formation energy is 0.3156 eV per atom. As for the density of states at the Fermi level: 5.2 states/eV per cell.

---

Entry 2:
DFT (PBE) results for an optimized crystal structure of SrCd.

```
4
Lattice="-4.931 2.795 -0.891 0.027 -5.726 0.363 -0.979 0.422 6.743" Properties=species:S:1:pos:R:3 pbc="T T T"
Sr -1.871 -2.780 1.630
Sr -4.013 0.272 4.584
Cd -3.523 0.060 1.213
Cd -2.360 -2.569 5.002
```

Calculated values
As for the energy: -1.208 eV/atom. The value obtained for the formation energy is 0.0904 eV per atom. As for the density of states at the Fermi level: 3.0 states/eV per cell.